GGA-PBE LaTl2Tc, relaxed; Fermi-level density of states = 2.90 states/eV per cell; spin magnetization = 0.248 μB/atom; E above lowest polymorph = 251 meV per atom; E = -18.26 eV for the cell shown
1.0
6.0972 0.0244 0.0794
-2.5357 5.3718 -0.0311
1.0257 0.9331 3.0379
Tc Tl La
1 2 1
Direct
0.5000 0.5000 0.0000
0.5000 0.0000 0.5000
0.0000 0.0000 0.0000
0.0000 0.5000 0.5000

---

GGA-PBE LaTl2Tc, relaxed; Fermi-level density of states = 3.25 states/eV per cell; spin magnetization = 0.000 μB/atom; E above lowest polymorph = 40 meV per atom; E = -19.11 eV for the cell shown
1.0
3.5497 0.0130 0.0000
-0.0136 3.5497 0.0000
0.0000 0.0000 8.1311
Tl La Tc
2 1 1
Direct
0.5000 0.5000 0.2278
0.0000 0.0000 0.9519
0.0000 0.0000 0.5547
0.5000 0.5000 0.7655

---

GGA-PBE La3TlTc, relaxed; Fermi-level density of states = 4.51 states/eV per cell; spin magnetization = 0.000 μB/atom; E above lowest polymorph = 29 meV per atom; E = -28.22 eV for the cell shown
1.0
-2.2737 -0.7114 -4.9161
2.2648 -4.9604 -0.3297
-4.4209 -2.1753 2.3595
Tl La Tc
1 3 1
Direct
0.5000 0.5000 0.5000
0.0000 0.0000 0.5000
0.5000 0.0000 0.0000
0.0000 0.5000 0.0000
0.0000 0.0000 0.0000

---

GGA-PBE La2TlTcW, relaxed; Fermi-level density of states = 12.90 states/eV per cell; spin magnetization = 0.006 μB/atom; E = -25.66 eV for the cell shown
1.0
-2.4092 -5.2518 0.2937
1.2239 -0.8238 -4.6914
5.0591 -2.2252 1.7105
La Tl Tc W
2 1 1 1
Direct
0.5000 0.0000 0.0000
0.0000 0.0000 0.5000
0.0000 0.0000 0.0000
0.0000 0.5000 0.0000
0.5000 0.5000 0.5000

---

GGA-PBE La2YTlTc, relaxed; Fermi-level density of states = 3.35 states/eV per cell; spin magnetization = 0.000 μB/atom; E = -29.51 eV for the cell shown
1.0
5.3699 0.0000 0.0000
0.0000 5.3699 0.0000
0.0000 0.0000 5.5251
La Tl Tc Y
2 1 1 1
Direct
0.0000 0.5000 0.0000
0.5000 0.0000 0.0000
0.5000 0.5000 0.5000
0.0000 0.0000 0.0000
0.0000 0.0000 0.5000

---

GGA-PBE LaY2TlTc, relaxed; Fermi-level density of states = 4.05 states/eV per cell; spin magnetization = 0.000 μB/atom; E = -30.63 eV for the cell shown
1.0
5.4351 0.0000 0.0000
0.0000 5.4351 0.0000
0.0000 0.0000 5.3035
Tl Y Tc La
1 2 1 1
Direct
0.5000 0.5000 0.5000
0.5000 0.0000 0.0000
0.0000 0.5000 0.0000
0.0000 0.0000 0.0000
0.0000 0.0000 0.5000

---

GGA-PBE LaTm2Tc, relaxed; Fermi-level density of states = 6.00 states/eV per cell; spin magnetization = 0.000 μB/atom; E above lowest polymorph = 312 meV per atom; E = -23.47 eV for the cell shown
1.0
-1.8391 2.8650 -0.2431
-3.4034 -0.1682 -0.1960
-2.3978 1.4031 10.7141
Tm La Tc
2 1 1
Direct
0.1059 0.1059 0.6822
0.8941 0.8941 0.3178
0.0000 0.0000 0.0000
0.5000 0.5000 0.5000

---

GGA-PBE LaTmTc, relaxed; Fermi-level density of states = 9.61 states/eV per cell; spin magnetization = 0.000 μB/atom; E above lowest polymorph = 0 meV per atom; E = -79.44 eV for the cell shown
1.0
6.8666 0.0000 0.0000
-3.4333 6.4021 0.0000
0.0000 0.0000 7.3031
Tc Tm La
4 4 4
Direct
0.8871 0.7741 0.0268
0.3871 0.7741 0.4732
0.6129 0.2259 0.5268
0.1129 0.2259 0.9732
0.2773 0.0546 0.2500
0.7773 0.0546 0.2500
0.7227 0.9454 0.7500
0.2227 0.9454 0.7500
0.2910 0.5820 0.1033
0.7090 0.4180 0.8967
0.7910 0.5820 0.3967
0.2090 0.4180 0.6033